1.
Below is a PBEsol-optimized structure of PAuSe2Br, with properties calculated at the meta-GGA SCAN level.

The structure in POSCAR format:
```
PAuSe2Br
1.0
4.816 0.000 0.000
0.000 4.816 0.000
0.000 0.000 4.786
P Au Se Br
1 1 2 1
direct
0.000 0.000 0.000
0.500 0.500 0.500
0.000 0.500 0.000
0.500 0.000 0.000
0.000 0.000 0.500
```

The formation energy (no corrections) is 3.43 eV/f.u.

=====

2.
Below is a PBEsol-optimized structure of Pb2AuBr, with properties calculated at the meta-GGA SCAN level.

The structure in POSCAR format:
```
Pb2AuBr
1.0
5.471 0.000 0.000
0.000 5.471 0.000
0.000 0.000 3.346
Pb Au Br
2 1 1
direct
0.000 0.500 0.000
0.500 0.000 0.000
0.000 0.000 0.500
0.500 0.500 0.500
```

The energy above the most stable polymorph in this dataset is 231.8 meV/atom. The formation energy (no corrections) is -0.39 eV/f.u.

=====

3.
Below is a PBEsol-optimized structure of Pb2AuBr, with properties calculated at the meta-GGA SCAN level.

The structure in POSCAR format:
```
Pb2AuBr
1.0
3.387 -1.962 0.000
3.387 1.962 0.000
-2.284 0.000 8.262
Pb Au Br
2 1 1
direct
0.240 0.240 0.219
0.760 0.760 0.781
0.500 0.500 0.000
0.000 0.000 0.500
```

The energy above the most stable polymorph in this dataset is 0.0 meV/atom. The formation energy (no corrections) is -1.31 eV/f.u.

=====

4.
Below is a PBEsol-optimized structure of PtAu2Br, with properties calculated at the meta-GGA SCAN level.

The structure in POSCAR format:
```
PtAu2Br
1.0
-1.975 1.975 4.510
1.975 -1.975 4.510
1.975 1.975 -4.510
Pt Au Br
1 2 1
direct
0.000 0.000 0.000
0.250 0.750 0.500
0.750 0.250 0.500
0.500 0.500 0.000
```

The energy above the most stable polymorph in this dataset is 270.2 meV/atom. The formation energy (no corrections) is 2.45 eV/f.u.

=====

5.
Below is a PBEsol-optimized structure of PtAu2Br, with properties calculated at the meta-GGA SCAN level.

The structure in POSCAR format:
```
PtAu2Br
1.0
1.644 0.949 7.915
-1.644 0.949 7.915
0.000 -1.899 7.915
Pt Au Br
1 2 1
direct
0.000 0.000 0.000
0.255 0.255 0.255
0.505 0.505 0.505
0.745 0.745 0.745
```

The energy above the most stable polymorph in this dataset is 0.0 meV/atom. The formation energy (no corrections) is 1.37 eV/f.u.

=====

6.
Below is a PBEsol-optimized structure of PtAuBr, with properties calculated at the meta-GGA SCAN level.

The structure in POSCAR format:
```
PtAuBr
1.0
0.000 2.718 6.571
1.550 0.000 6.571
1.550 2.718 0.000
Pt Au Br
1 1 1
direct
0.000 0.000 0.000
0.338 0.338 0.662
0.657 0.657 0.343
```

The formation energy (no corrections) is 1.51 eV/f.u.

=====

7.
Below is a PBEsol-optimized structure of PtAuSe2Br, with properties calculated at the meta-GGA SCAN level.

The structure in POSCAR format:
```
PtAuSe2Br
1.0
4.873 0.000 0.000
0.000 4.873 0.000
0.000 0.000 5.025
Pt Au Se Br
1 1 2 1
direct
0.000 0.000 0.000
0.500 0.500 0.500
0.000 0.500 0.000
0.500 0.000 0.000
0.000 0.000 0.500
```

The formation energy (no corrections) is 3.17 eV/f.u.

=====

8.
Below is a PBEsol-optimized structure of RbAuBr3, with properties calculated at the meta-GGA SCAN level.

The structure in POSCAR format:
```
RbAuBr3
1.0
5.304 0.000 0.000
0.000 5.304 0.000
0.000 0.000 5.304
Rb Au Br
1 1 3
direct
0.000 0.000 0.000
0.500 0.500 0.500
0.000 0.500 0.500
0.500 0.000 0.500
0.500 0.500 0.000
```

The formation energy (no corrections) is -4.51 eV/f.u.

=====

Q: Among the records above, which one has the highest formation energy (no corrections)?
A: PAuSe2Br

=====

Q: Number 4 is which compound?
A: PtAu2Br